Here is an optimized crystal structure of LaNdDy2S4 from Alexandria via LeMat-Bulk. Energies are from GGA-PBE.

Values from the calculation:
The value obtained for the formation energy without anion corrections is -2.049 eV per atom.

a b c (Å): 3.9528 7.0660 6.8905
angles (deg): 71.21 90.00 90.00
Fractional coordinates of all 8 atoms:
S (0.0000, 0.7692, 0.7414)
Dy (0.5000, 0.0000, 0.5000)
Nd (0.0000, 0.5000, 0.5000)
S (0.5000, 0.2325, 0.7543)
S (0.0000, 0.2308, 0.2586)
Dy (0.0000, 0.0000, 0.0000)
S (0.5000, 0.7676, 0.2457)
La (0.5000, 0.5000, 0.0000)

***

Here is an optimized crystal structure of La4Nd3DyS8 from Alexandria via LeMat-Bulk. Energies are from GGA-PBE.

Values from the calculation:
The value obtained for the formation energy without anion corrections is -2.092 eV per atom.

a b c (Å): 8.1856 8.1879 8.1851
angles (deg): 119.99 120.00 90.00
Fractional coordinates of all 16 atoms:
S (0.7575, 0.2606, 0.0032)
La (0.5000, 0.0000, 0.5000)
Nd (0.5000, 0.5000, 0.0000)
S (0.7574, 0.2606, 0.5149)
S (0.7543, 0.7394, 0.9968)
Nd (0.5000, 0.5000, 0.5000)
Nd (0.0000, 0.5000, 0.5000)
La (0.5000, 0.0000, 0.0000)
S (0.2457, 0.2606, 0.0032)
S (0.2426, 0.7394, 0.4851)
S (0.2425, 0.7394, 0.9968)
S (0.2516, 0.2549, 0.5033)
S (0.7484, 0.7451, 0.4967)
La (0.0000, 0.0000, 0.0000)
La (0.0000, 0.0000, 0.5000)
Dy (0.0000, 0.5000, 0.0000)

***

Here is an optimized crystal structure of La2NdDy3S6 from Alexandria via LeMat-Bulk. Energies are from GGA-PBE.

Values from the calculation:
The value obtained for the formation energy without anion corrections is -2.062 eV per atom.

a b c (Å): 3.9696 8.1323 9.0150
angles (deg): 104.27 102.72 90.00
Fractional coordinates of all 12 atoms:
Dy (0.5000, 0.5000, 0.0000)
Dy (0.8332, 0.1667, 0.6664)
Nd (0.5000, 0.0000, 0.0000)
S (0.3302, 0.9295, 0.6603)
S (0.6698, 0.0705, 0.3397)
La (0.1659, 0.3319, 0.3318)
Dy (0.1668, 0.8333, 0.3336)
La (0.8341, 0.6681, 0.6682)
S (0.3377, 0.4055, 0.6754)
S (0.9951, 0.2584, 0.9902)
S (0.6623, 0.5945, 0.3246)
S (0.0049, 0.7416, 0.0098)

***

Here is an optimized crystal structure of LaNd2Dy3S6 from Alexandria via LeMat-Bulk. Energies are from GGA-PBE.

Values from the calculation:
The value obtained for the formation energy without anion corrections is -2.041 eV per atom.

a b c (Å): 6.8900 6.8900 7.0098
angles (deg): 99.42 99.42 120.15
Fractional coordinates of all 12 atoms:
Dy (0.1669, 0.8331, 0.5000)
S (0.2464, 0.2464, 0.7332)
S (0.9105, 0.5754, 0.7325)
Dy (0.8331, 0.1669, 0.5000)
S (0.4246, 0.0895, 0.2675)
La (0.0000, 0.0000, 0.0000)
Nd (0.3327, 0.6673, 0.0000)
Dy (0.5000, 0.5000, 0.5000)
S (0.5754, 0.9105, 0.7325)
Nd (0.6673, 0.3327, 0.0000)
S (0.7536, 0.7536, 0.2668)
S (0.0895, 0.4246, 0.2675)

***

Here is an optimized crystal structure of La3Nd4DyS8 from Alexandria via LeMat-Bulk. Energies are from GGA-PBE.

Values from the calculation:
The value obtained for the formation energy without anion corrections is -2.070 eV per atom.

a b c (Å): 8.1768 8.1603 8.1755
angles (deg): 120.06 120.01 90.00
Fractional coordinates of all 16 atoms:
S (0.7517, 0.7549, 0.5033)
S (0.7590, 0.7471, 0.0031)
La (0.5000, 0.5000, 0.5000)
S (0.2410, 0.2529, 0.9969)
S (0.2483, 0.2451, 0.4967)
S (0.2440, 0.7471, 0.0031)
Nd (0.5000, 0.0000, 0.0000)
Dy (0.0000, 0.5000, 0.0000)
Nd (0.5000, 0.0000, 0.5000)
La (0.0000, 0.5000, 0.5000)
S (0.7560, 0.2529, 0.9969)
S (0.7560, 0.2529, 0.5119)
Nd (0.0000, 0.0000, 0.5000)
La (0.5000, 0.5000, 0.0000)
S (0.2440, 0.7471, 0.4881)
Nd (0.0000, 0.0000, 0.0000)

***

Here is an optimized crystal structure of La3NdDy2S6 from Alexandria via LeMat-Bulk. Energies are from GGA-PBE.

Values from the calculation:
The value obtained for the formation energy without anion corrections is -2.092 eV per atom.

a b c (Å): 7.0113 7.0113 7.0617
angles (deg): 99.54 99.54 120.10
Fractional coordinates of all 12 atoms:
S (0.4206, 0.0784, 0.2355)
S (0.2649, 0.2649, 0.7676)
S (0.0784, 0.4206, 0.2355)
S (0.7351, 0.7351, 0.2324)
Nd (0.0000, 0.0000, 0.0000)
Dy (0.3334, 0.6666, 0.0000)
S (0.9216, 0.5794, 0.7645)
La (0.1635, 0.8365, 0.5000)
La (0.5000, 0.5000, 0.5000)
La (0.8365, 0.1635, 0.5000)
S (0.5794, 0.9216, 0.7645)
Dy (0.6666, 0.3334, 0.0000)

***

Number 1: ρ 6.71 Mg/m³, uncorrected energy -51.80 eV/cell, DOS(E_F) 0.5618 states/eV per atom. Number 2: ρ 6.02 Mg/m³, uncorrected energy -105.11 eV/cell, DOS(E_F) 0.5398 states/eV per atom. Number 3: ρ 6.66 Mg/m³, uncorrected energy -77.94 eV/cell, DOS(E_F) 0.4585 states/eV per atom. Number 4: ρ 6.76 Mg/m³, uncorrected energy -77.52 eV/cell, DOS(E_F) 0.4717 states/eV per atom. Number 5: ρ 6.09 Mg/m³, uncorrected energy -104.59 eV/cell, DOS(E_F) 0.5229 states/eV per atom. Number 6: ρ 6.32 Mg/m³, uncorrected energy -78.62 eV/cell, DOS(E_F) 0.4848 states/eV per atom.